Entry P
{"formula": "SrAcPr", "functional": "PBE", "state": "relaxed", "vol_a3_per_cell": 273.32, "magnetic_moment_mub_per_fu": 0.00, "cell": [[5.3152, 0.0000, 0.0000], [0.0000, 5.3152, 0.0000], [0.0000, 0.0000, 9.6748]], "species": ["Sr", "Pr", "Ac", "Ac", "Pr", "Sr"], "fractional_positions": [[0.0000, 0.5000, 0.3390], [0.0000, 0.5000, 0.7323], [0.0000, 0.0000, 0.0000], [0.5000, 0.5000, 0.0000], [0.5000, 0.0000, 0.2677], [0.5000, 0.0000, 0.6610]]}

***

Entry Q
{"formula": "SrAcPr", "functional": "PBE", "state": "relaxed", "vol_a3_per_cell": 132.64, "magnetic_moment_mub_per_fu": 0.00, "cell": [[3.9600, 0.0000, 0.0000], [-1.9800, 3.4295, 0.0000], [0.0000, 0.0000, 9.7666]], "species": ["Sr", "Ac", "Pr"], "fractional_positions": [[0.3333, 0.6667, 0.6736], [0.6667, 0.3333, 0.3152], [0.0000, 0.0000, 0.0112]]}

***

The winner here is entry Q, beating the second structure by 185 meV per atom.

***

Entry P
{"formula": "Ac7Tb2Pr2", "functional": "PBE", "state": "relaxed", "vol_a3_per_cell": 468.43, "magnetic_moment_mub_per_fu": 0.00, "cell": [[1.3391, 3.9422, -4.4742], [-4.2412, -6.4366, -6.9299], [-8.0323, -0.8584, 5.1753]], "species": ["Ac", "Tb", "Ac", "Ac", "Pr", "Ac", "Ac", "Ac", "Ac", "Tb", "Pr"], "fractional_positions": [[0.4971, 0.6998, 0.9970], [0.2191, 0.0041, 0.7188], [0.5029, 0.3002, 0.0030], [0.9931, 0.3380, 0.4931], [0.7433, 0.4864, 0.7435], [0.5195, 0.8309, 0.5194], [0.0000, 0.0000, 0.0000], [0.4805, 0.1691, 0.4806], [0.0069, 0.6620, 0.5069], [0.7809, 0.9959, 0.2812], [0.2567, 0.5136, 0.2565]]}

***

Entry Q
{"formula": "Ac7Tb2Pr2", "functional": "PBE", "state": "relaxed", "vol_a3_per_cell": 458.42, "magnetic_moment_mub_per_fu": 0.00, "cell": [[9.2419, 0.8279, 1.1948], [0.2454, 7.0002, 1.0461], [0.2454, -1.4788, 6.9217]], "species": ["Ac", "Ac", "Ac", "Pr", "Tb", "Pr", "Ac", "Ac", "Ac", "Ac", "Tb"], "fractional_positions": [[0.2035, 0.0830, 0.4597], [0.7965, 0.9170, 0.5403], [0.4182, 0.8418, 0.8418], [0.1511, 0.6086, 0.6086], [0.5000, 0.3284, 0.6716], [0.8489, 0.3914, 0.3914], [0.0000, 0.0000, 0.0000], [0.5818, 0.1582, 0.1582], [0.2035, 0.4597, 0.0830], [0.7965, 0.5403, 0.9170], [0.5000, 0.6716, 0.3284]]}

***

The winner here is entry Q, beating the second structure by 70 meV per atom.

***

Entry P
{"formula": "AcTbPr", "functional": "PBE", "state": "relaxed", "vol_a3_per_cell": 113.04, "magnetic_moment_mub_per_fu": 0.00, "cell": [[3.7776, 0.0000, 0.0000], [1.8888, 3.2715, 0.0000], [1.8888, 1.0905, 9.1465]], "species": ["Pr", "Tb", "Ac"], "fractional_positions": [[0.5550, 0.5550, 0.3351], [0.3261, 0.3261, 0.0218], [0.1043, 0.1043, 0.6870]]}

***

Entry Q
{"formula": "AcTbPr", "functional": "PBE", "state": "relaxed", "vol_a3_per_cell": 112.78, "magnetic_moment_mub_per_fu": 0.00, "cell": [[3.7907, 0.0000, 0.0000], [0.0000, 3.7907, 0.0000], [-1.8953, -1.8953, 7.8485]], "species": ["Ac", "Tb", "Pr"], "fractional_positions": [[0.0020, 0.0020, 0.0040], [0.6710, 0.6710, 0.3419], [0.3270, 0.3270, 0.6541]]}

***

The winner here is entry Q, beating the second structure by 11 meV per atom.

***

Entry P
{"formula": "AcTbPr", "functional": "PBE", "state": "relaxed", "vol_a3_per_cell": 112.22, "magnetic_moment_mub_per_fu": 0.00, "cell": [[-0.6716, 2.5731, 2.4909], [1.2221, -3.8920, 4.3499], [4.3534, 3.3638, -2.3011]], "species": ["Ac", "Tb", "Pr"], "fractional_positions": [[0.1678, 0.0000, 0.0000], [0.1652, 0.3333, 0.6667], [0.6670, 0.6667, 0.3333]]}

***

Entry Q
{"formula": "AcTbPr", "functional": "PBE", "state": "relaxed", "vol_a3_per_cell": 112.38, "magnetic_moment_mub_per_fu": 0.00, "cell": [[3.7914, 0.0000, 0.0000], [0.0000, 5.2654, 0.0000], [-1.8957, -2.6327, 5.6296]], "species": ["Pr", "Tb", "Ac"], "fractional_positions": [[0.3296, 0.3296, 0.6593], [0.6697, 0.6697, 0.3394], [0.0007, 0.0007, 0.0013]]}

***

The winner here is entry Q, beating the second structure by 72 meV per atom.

***

Entry P
{"formula": "Ac3TbPr2", "functional": "PBE", "state": "relaxed", "vol_a3_per_cell": 481.74, "magnetic_moment_mub_per_fu": 0.00, "cell": [[3.9193, 0.0000, 0.0000], [0.0000, 9.0484, 1.0346], [0.0000, -1.4837, 13.4146]], "species": ["Pr", "Ac", "Ac", "Ac", "Ac", "Pr", "Ac", "Tb", "Ac", "Tb", "Pr", "Pr"], "fractional_positions": [[0.2500, 0.9238, 0.1109], [0.2500, 0.3357, 0.0549], [0.2500, 0.9151, 0.3888], [0.7500, 0.0849, 0.6112], [0.7500, 0.6008, 0.2506], [0.7500, 0.0762, 0.8891], [0.7500, 0.6643, 0.9451], [0.7500, 0.1894, 0.2559], [0.2500, 0.3992, 0.7494], [0.2500, 0.8106, 0.7441], [0.7500, 0.6474, 0.5519], [0.2500, 0.3526, 0.4481]]}

***

Entry Q
{"formula": "Ac3TbPr2", "functional": "PBE", "state": "relaxed", "vol_a3_per_cell": 479.04, "magnetic_moment_mub_per_fu": 0.00, "cell": [[-3.5253, 6.2514, 0.6025], [-3.7825, -2.7830, -8.2344], [-6.0951, -2.7807, 2.6437]], "species": ["Tb", "Ac", "Ac", "Ac", "Pr", "Ac", "Pr", "Ac", "Tb", "Pr", "Ac", "Pr"], "fractional_positions": [[0.1190, 0.7500, 0.1190], [0.7031, 0.5211, 0.1329], [0.1329, 0.9789, 0.7031], [0.5578, 0.2500, 0.5578], [0.3836, 0.1185, 0.1163], [0.8671, 0.0211, 0.2969], [0.1163, 0.3815, 0.3836], [0.2969, 0.4789, 0.8671], [0.8810, 0.2500, 0.8810], [0.6164, 0.8815, 0.8837], [0.4422, 0.7500, 0.4422], [0.8837, 0.6185, 0.6164]]}

***

The winner here is entry P, beating the second structure by 53 meV per atom.

***

Entry P
{"formula": "AcTbPr2", "functional": "PBE", "state": "relaxed", "vol_a3_per_cell": 148.72, "magnetic_moment_mub_per_fu": 0.00, "cell": [[-4.4994, 2.8548, -0.1380], [-2.6038, -4.2002, -1.9949], [-4.7123, -2.2580, 3.7863]], "species": ["Ac", "Pr", "Tb", "Pr"], "fractional_positions": [[0.2501, 0.7500, 0.4999], [0.7498, 0.2500, 0.5001], [0.4999, 0.5000, 0.0000], [0.0002, 0.0000, 0.0000]]}

***

Entry Q
{"formula": "AcTbPr2", "functional": "PBE", "state": "relaxed", "vol_a3_per_cell": 149.25, "magnetic_moment_mub_per_fu": 0.00, "cell": [[-1.3752, -0.0966, -4.0756], [-1.7773, -3.8567, 0.6911], [-6.8758, 3.5692, 2.2354]], "species": ["Pr", "Pr", "Tb", "Ac"], "fractional_positions": [[0.0000, 0.0000, 0.7802], [0.0000, 0.0000, 0.2198], [0.5000, 0.5000, 0.0000], [0.5000, 0.5000, 0.5000]]}

***

Entry R
{"formula": "AcTbPr2", "functional": "PBE", "state": "relaxed", "vol_a3_per_cell": 151.64, "magnetic_moment_mub_per_fu": 0.00, "cell": [[-0.4721, 1.3459, -3.3763], [-3.0921, -0.7041, -1.8377], [-6.6223, 10.9379, 3.2968]], "species": ["Pr", "Tb", "Ac", "Pr"], "fractional_positions": [[0.9078, 0.9078, 0.2765], [0.5000, 0.5000, 0.5000], [0.0000, 0.0000, 0.0000], [0.0922, 0.0922, 0.7235]]}

***

Entry S
{"formula": "AcTbPr2", "functional": "PBE", "state": "relaxed", "vol_a3_per_cell": 147.73, "magnetic_moment_mub_per_fu": 0.00, "cell": [[-2.2964, 1.8471, 4.4235], [0.0258, -4.8600, 2.0428], [4.7544, 0.9041, 2.0907]], "species": ["Ac", "Pr", "Pr", "Tb"], "fractional_positions": [[0.5000, 0.0000, 0.0000], [0.0000, 0.5000, 0.0000], [0.0000, 0.0000, 0.5000], [0.5000, 0.5000, 0.5000]]}

***

The winner here is entry S, beating the second structure by 7 meV per atom.